VASP calculation (GGA-PBE) on an optimized crystal structure of MnSb3Br.

abc: 5.470 5.470 5.470
angles: 90.00 90.00 90.00
Space group Pm-3m (No. 221)
Unique sites:
1 Mn 0.000 0.000 0.000 x1
2 Sb 0.000 0.500 0.500 x3
3 Br 0.500 0.500 0.500 x1

As for the excess energy over the best structure of this formula in the dataset: 466.8 kJ/mol of formula units. As for the crystal system: cubic. The calculation puts the volume at 32.72 Å³/atom.